Entry 1:
First-principles (PBE) data for a geometry-optimized InSe2 structure, as listed in Alexandria.

Computed properties:
The formation energy (no corrections) comes out at 0.09 eV/f.u. The density of states at the Fermi level is 0.912 states/eV per atom. The space group is Fm-3m.

Lattice parameters (Å, degrees): 4.8059 4.8059 4.8059 60.00 60.00 60.00
With the nearest neighbours (Å) after each atom.
Element x y z (fractional)
In 0.0000 0.0000 0.0000  8 Se 2.94
Se 0.2500 0.2500 0.2500  4 In 2.94
Se 0.7500 0.7500 0.7500  4 In 2.94


Entry 2:
First-principles (PBE) data for a geometry-optimized Y2SeO2 structure, as listed in Alexandria.

Computed properties:
The formation energy (no corrections) comes out at -12.84 eV/f.u. The density of states at the Fermi level is 0.049 states/eV per atom. The space group is I4/mmm.

Lattice parameters (Å, degrees): 5.7028 5.7028 5.7028 133.85 133.85 67.32
With the nearest neighbours (Å) after each atom.
Element x y z (fractional)
Y 0.2500 0.7500 0.5000  4 O 2.31
Y 0.7500 0.2500 0.5000  4 O 2.31
Se 0.0000 0.0000 0.0000  2 O 2.94, 8 Y 3.26
O 0.3096 0.3096 0.0000  4 Y 2.31
O 0.6904 0.6904 0.0000  4 Y 2.31


Entry 3:
First-principles (PBE) data for a geometry-optimized NbBRh3 structure, as listed in Alexandria.

Computed properties:
The formation energy is 1859 meV/atom. The density of states at the Fermi level is 0.512 states/eV per atom. The space group is Pm-3m.

Lattice parameters (Å, degrees): 4.7169 4.7169 4.7169 90.00 90.00 90.00
With the nearest neighbours (Å) after each atom.
Element x y z (fractional)
Nb 0.0000 0.0000 0.0000  6 Rh 2.36
B 0.5000 0.5000 0.5000  12 Rh 3.34
Rh 0.0000 0.0000 0.5000  2 Nb 2.36
Rh 0.0000 0.5000 0.0000  2 Nb 2.36
Rh 0.5000 0.0000 0.0000  2 Nb 2.36


Entry 4:
First-principles (PBE) data for a geometry-optimized RbSr2Cr2 structure, as listed in Alexandria.

Computed properties:
The formation energy is 855 meV/atom. The density of states at the Fermi level is 1.276 states/eV per atom. Its energy above the most stable polymorph in this dataset is 0.000 eV per atom. The space group is P4/mbm.

Lattice parameters (Å, degrees): 9.0307 9.0307 4.7660 90.00 90.00 90.00
With the nearest neighbours (Å) after each atom.
Element x y z (fractional)
Rb 0.0000 0.0000 0.0000  4 Cr 3.94, 8 Sr 4.09
Rb 0.5000 0.5000 0.0000  4 Cr 3.94, 8 Sr 4.09
Sr 0.1761 0.3239 0.5000  4 Cr 3.39
Sr 0.3239 0.8239 0.5000  4 Cr 3.39
Sr 0.6761 0.1761 0.5000  4 Cr 3.39
Sr 0.8239 0.6761 0.5000  4 Cr 3.39
Cr 0.0689 0.5689 0.0000  1 Cr 1.76
Cr 0.4311 0.0689 0.0000  1 Cr 1.76
Cr 0.5689 0.9311 0.0000  1 Cr 1.76
Cr 0.9311 0.4311 0.0000  1 Cr 1.76


Entry 5:
First-principles (PBE) data for a geometry-optimized PrThZnGe structure, as listed in Alexandria.

Computed properties:
The formation energy is -396 meV/atom. The density of states at the Fermi level is 0.818 states/eV per atom. The space group is F-43m.

Lattice parameters (Å, degrees): 5.2206 5.2206 5.2206 60.00 60.00 60.00
With the nearest neighbours (Å) after each atom.
Element x y z (fractional)
Pr 0.0000 0.0000 0.0000  4 Zn 3.20, 4 Ge 3.20
Th 0.5000 0.5000 0.5000  4 Zn 3.20, 4 Ge 3.20
Zn 0.7500 0.7500 0.7500  4 Th 3.20, 4 Pr 3.20
Ge 0.2500 0.2500 0.2500  4 Th 3.20, 4 Pr 3.20


Entry 6:
First-principles (PBE) data for a geometry-optimized MgBe2Cd structure, as listed in Alexandria.

Computed properties:
The formation energy is 444 meV/atom. The density of states at the Fermi level is 0.174 states/eV per atom. Its energy above the most stable polymorph in this dataset is 0.154 eV per atom. The space group is C2/m.

Lattice parameters (Å, degrees): 4.5621 4.5621 6.0490 113.13 113.13 36.72
With the nearest neighbours (Å) after each atom.
Element x y z (fractional)
Mg 0.0000 0.0000 0.0000  4 Be 2.67, 2 Mg 2.87
Be 0.2655 0.2655 0.6486  2 Be 2.23
Be 0.7345 0.7345 0.3514  2 Be 2.23
Cd 0.5000 0.5000 0.5000  6 Be 2.54


- What is the formula in the third record?
  NbBRh3